# 1
This record from the Alexandria database describes crystalline BaNp2PdO8 at its relaxed geometry. The functional is PBE.

Unit cell a=5.4180 b=5.4529 c=7.0566 alpha=86.18 beta=86.21 gamma=80.04
Space group P-1 (No. 2)
Inequivalent atoms, fractional coordinates:
Ba1 0.0000 0.0000 0.0000
Np1 0.4973 0.4975 0.2618
Pd1 0.0000 0.0000 0.5000
O1 0.2051 0.7785 0.7037
O2 0.2202 0.7938 0.2965
O3 0.3473 0.3486 0.4899
O4 0.3477 0.3474 0.9730

Size of the total moment ... 2.01 μB per formula unit
Total energy ... -100.33 eV/f.u.
N(E_F) ... 6.3 states/eV/cell
Crystal system ... triclinic
ρ ... 6.865 g cm⁻³
Formation energy (no corrections) ... -2.306 eV per atom

# 2
This record from the Alexandria database describes crystalline Ba2Np3PdO12 at its relaxed geometry. The functional is PBE.

Unit cell a=7.9069 b=7.9069 c=16.7479 alpha=90.00 beta=90.00 gamma=120.00
Space group R-3m (No. 166, hexagonal axes)
Inequivalent atoms, fractional coordinates:
Ba1 0.0000 0.0000 0.1124
Np1 0.0000 0.5000 0.0000
Pd1 0.0000 0.0000 0.5000
O1 0.0611 0.5306 0.3116
O2 0.0615 0.5307 0.8898

Size of the total moment ... 1.00 μB per formula unit
Total energy ... -151.79 eV/f.u.
N(E_F) ... 32.0 states/eV/cell
Crystal system ... trigonal
ρ ... 7.054 g cm⁻³
Formation energy (no corrections) ... -2.468 eV per atom

# 3
This record from the Alexandria database describes crystalline BaNpPdO5 at its relaxed geometry. The functional is PBE.

Unit cell a=6.4083 b=10.4268 c=8.1324 alpha=90.00 beta=106.93 gamma=90.00
Space group C2/c (No. 15)
Inequivalent atoms, fractional coordinates:
Ba1 0.0000 0.1807 0.2500
Np1 0.0000 0.5000 0.0000
Pd1 0.0000 0.1723 0.7500
O1 0.0000 0.4389 0.2500
O2 0.0434 0.3120 0.5742
O3 0.1759 0.0309 0.9288

Size of the total moment ... 0.97 μB per formula unit
Total energy ... -62.10 eV/f.u.
N(E_F) ... 19.4 states/eV/cell
Crystal system ... monoclinic
ρ ... 7.165 g cm⁻³
Formation energy (no corrections) ... -2.157 eV per atom

> Which of these has the lowest total energy?

Ba2Np3PdO12

> Number 2 is which compound?

Ba2Np3PdO12